Computed, not measured: a relaxed Tb6Ge3P2Se crystal at the PBE-GGA level of DFT.

Values from the calculation:
space group: C2/m, No. 12
ΔE_f (raw): -1.228 eV/atom
DOS(E_F): 0.50 states/eV per atom

Cell lengths 4.004, 8.428, 9.306 Å; angles 106.14, 102.42, 90.00 degrees
Fractional positions:
Tb 0.333 0.905 0.665
Tb 0.670 0.574 0.340
Tb 0.667 0.095 0.335
Tb 0.004 0.254 0.008
Tb 0.996 0.746 0.992
Tb 0.330 0.426 0.660
Ge 0.500 0.500 0.000
Ge 0.835 0.168 0.670
Ge 0.165 0.832 0.330
P 0.834 0.668 0.667
P 0.166 0.332 0.333
Se 0.500 0.000 0.000